[1]
DFT (GGA-PBE) results for crystalline CaMg2Ga at its relaxed geometry.

- Energy: -18.65 eV for the cell shown
- Volume: 97.7 Å³/f.u.

The structure in CIF format:
```
data_CaMg2Ga
_chemical_formula_sum 'Ca2 Mg4 Ga2'
_space_group_name_H-M_alt 'P 1 21/m 1'
_space_group_IT_number 11
_space_group_name_Hall '-P 2yb'
_cell_length_a 4.4950
_cell_length_b 7.9296
_cell_length_c 5.9218
_cell_angle_alpha 90.00
_cell_angle_beta 112.20
_cell_angle_gamma 90.00
loop_
_atom_site_label
_atom_site_fract_x
_atom_site_fract_y
_atom_site_fract_z
Ca1 0.0671 0.2500 0.1328
Mg1 0.3562 0.0562 0.7125
Ga1 0.2210 0.7500 0.4422
```

---

[2]
DFT (GGA-PBE) results for crystalline GdYRu at its relaxed geometry.

- Energy: -122.23 eV for the cell shown
- Energy above the most stable polymorph in this dataset: 0.0 meV/atom
- Volume: 78.5 Å³/f.u.

The structure in CIF format:
```
data_GdYRu
_chemical_formula_sum 'Gd4 Y4 Ru4'
_space_group_name_H-M_alt 'F -4 3 m'
_space_group_IT_number 216
_space_group_name_Hall 'F -4 2 3'
_cell_length_a 6.7970
_cell_length_b 6.7970
_cell_length_c 6.7970
_cell_angle_alpha 90.00
_cell_angle_beta 90.00
_cell_angle_gamma 90.00
loop_
_atom_site_label
_atom_site_fract_x
_atom_site_fract_y
_atom_site_fract_z
Gd1 0.0000 0.0000 0.0000
Y1 0.0000 0.0000 0.5000
Ru1 0.2500 0.2500 0.7500
```

---

[3]
DFT (GGA-PBE) results for crystalline CaPmTlAu at its relaxed geometry.

- Energy: -58.90 eV for the cell shown
- Energy above the most stable polymorph in this dataset: 16.8 meV/atom
- Volume: 106.9 Å³/f.u.

The structure in CIF format:
```
data_CaPmTlAu
_chemical_formula_sum 'Ca4 Pm4 Tl4 Au4'
_space_group_name_H-M_alt 'F -4 3 m'
_space_group_IT_number 216
_space_group_name_Hall 'F -4 2 3'
_cell_length_a 7.5341
_cell_length_b 7.5341
_cell_length_c 7.5341
_cell_angle_alpha 90.00
_cell_angle_beta 90.00
_cell_angle_gamma 90.00
loop_
_atom_site_label
_atom_site_fract_x
_atom_site_fract_y
_atom_site_fract_z
Ca1 0.0000 0.0000 0.0000
Pm1 0.0000 0.0000 0.5000
Tl1 0.2500 0.2500 0.7500
Au1 0.2500 0.2500 0.2500
```